1.
Computed, not measured: crystalline LiP2Cl at its relaxed geometry at the PBEsol level of DFT.

a b c (Å): 3.2182 3.4006 7.8515
angles (deg): 100.81 90.00 90.00
Closest atoms and distances in Å follow each position.
Element x y z (fractional)
Li  0.5000  0.9864  0.5915  4 Cl 2.35
Cl  0.0000  0.4980  0.6165  4 Li 2.35
P  0.5000  0.9528  0.2290  2 P 2.15
P  0.0000  0.0627  0.0630  2 P 2.15

Values from the calculation:
* N(E_F): 0.82 states/eV per cell
* formation energy (no corrections): -0.591 eV per atom
* offset from the most stable computed form: 0.00 kcal/mol of atoms
* symmetry: No. 6

2.
Computed, not measured: crystalline BaHfZn3 at its relaxed geometry at the PBEsol level of DFT.

a b c (Å): 5.2642 5.2642 5.2642
angles (deg): 90.00 90.00 90.00
Closest atoms and distances in Å follow each position.
Element x y z (fractional)
Zn  0.0000  0.5000  0.0000  2 Ba 2.63
Zn  0.5000  0.0000  0.0000  2 Ba 2.63
Zn  0.0000  0.0000  0.5000  2 Ba 2.63
Hf  0.5000  0.5000  0.5000  12 Zn 3.72
Ba  0.0000  0.0000  0.0000  6 Zn 2.63

Values from the calculation:
* N(E_F): 3.93 states/eV per cell
* energy of formation from the pure elements: 1.577 eV per atom
* symmetry: No. 221

3.
Computed, not measured: crystalline TlCdRh2 at its relaxed geometry at the PBEsol level of DFT.

a b c (Å): 2.9773 4.7240 5.2615
angles (deg): 108.37 106.44 90.00
Closest atoms and distances in Å follow each position.
Element x y z (fractional)
Cd  0.7358  0.1789  0.4717  7 Rh 2.76-2.83, 2 Cd 2.98, 1 Tl 3.01
Tl  0.5142  0.5705  0.0284  7 Rh 2.76-2.84, 2 Tl 2.98, 1 Cd 3.01
Rh  0.9854  0.0581  0.9708  3 Cd 2.76-2.83, 4 Rh 2.76-2.98, 4 Tl 2.77-2.84
Rh  0.2646  0.6925  0.5291  3 Tl 2.76-2.82, 4 Rh 2.76-2.98, 4 Cd 2.78-2.83

Values from the calculation:
* N(E_F): 4.29 states/eV per cell
* energy of formation from the pure elements: 0.068 eV per atom
* offset from the most stable computed form: 2.58 kcal/mol of atoms
* symmetry: No. 8

4.
Computed, not measured: crystalline ScZnPt at its relaxed geometry at the PBEsol level of DFT.

a b c (Å): 2.9127 4.3926 4.3926
angles (deg): 120.00 90.00 90.00
Closest atoms and distances in Å follow each position.
Element x y z (fractional)
Pt  0.5000  0.0000  0.0000  3 Zn 2.54
Sc  0.0000  0.3333  0.6667  2 Sc 2.91, 6 Zn 2.92, 6 Pt 2.92
Zn  0.5000  0.6667  0.3333  3 Pt 2.54

Values from the calculation:
* N(E_F): 2.06 states/eV per cell
* energy of formation from the pure elements: -0.811 eV per atom
* symmetry: No. 187

> Look up the N(E_F) of the fourth one.

2.06 states/eV per cell